KBa2TlI6: optimized geometry, PBE.

a b c (Å): 8.918 8.919 9.370
angles (deg): 61.58 61.58 60.00
Fractional coordinates of all 10 atoms:
I (0.627, 0.223, 0.247)
I (0.223, 0.904, 0.247)
I (0.722, 0.128, 0.748)
K (0.812, 0.812, 0.564)
I (0.904, 0.627, 0.247)
Ba (0.014, 0.014, 0.957)
I (0.128, 0.403, 0.748)
I (0.403, 0.722, 0.748)
Tl (0.315, 0.315, 0.056)
Ba (0.515, 0.515, 0.454)

ΔE_f (raw) = -1.48 eV per atom
SG = R3, No. 146
Total magnetic moment = 0.00 μB/cell